Density functional theory data (PBE-GGA) for Mg5Sb after structural relaxation.

## Properties
For the total energy, the calculation gives -12.42 eV per cell. The formation energy from raw total energies comes out at -54 meV per atom. The density of states at the Fermi level comes out at 3.005 states/eV per cell. The theoretical density comes out at 2.86 g/cm3. Its size of the total moment is 0.00 μB per formula unit.

a b c (Å): 6.1541 6.1541 7.8298
angles (deg): 106.55 106.55 29.85
Last column: nearest neighbours and their distance in Å.
Element x y z (fractional)
Mg 0.0000 0.0000 0.0000  10 Mg 3.13-3.30, 2 Sb 3.16
Mg 0.0537 0.0537 0.6233  10 Mg 3.16-3.26, 2 Sb 3.36
Mg 0.3353 0.3353 0.6712  10 Mg 3.16-3.28, 2 Sb 3.26
Mg 0.3908 0.3908 0.2848  3 Sb 3.16-3.24, 9 Mg 3.17-3.30
Mg 0.7288 0.7288 0.9461  11 Mg 3.13-3.28, 1 Sb 3.32
Sb 0.6639 0.6639 0.3299  10 Mg 3.16-3.36, 2 Sb 3.17


Density functional theory data (PBE-GGA) for PmSm12Y6 after structural relaxation.

## Properties
For the total energy, the calculation gives -92.22 eV per cell. The density of states at the Fermi level comes out at 23.759 states/eV per cell. The theoretical density comes out at 5.99 g/cm3. Its size of the total moment is 0.00 μB per formula unit.

a b c (Å): 8.9368 8.9368 8.9368
angles (deg): 98.41 98.41 98.41
Last column: nearest neighbours and their distance in Å.
Element x y z (fractional)
Pm 0.0000 0.0000 0.0000  6 Y 3.63
Sm 0.1174 0.5000 0.8826  4 Y 3.01-3.25, 1 Sm 3.18
Sm 0.1174 0.8826 0.5000  4 Y 3.01-3.25, 1 Sm 3.18
Sm 0.1831 0.4679 0.4679  7 Sm 3.52-3.89, 3 Y 3.68-3.76
Sm 0.4679 0.1831 0.4679  7 Sm 3.52-3.89, 3 Y 3.68-3.76
Sm 0.4679 0.4679 0.1831  7 Sm 3.52-3.89, 3 Y 3.68-3.76
Sm 0.5000 0.1174 0.8826  4 Y 3.01-3.25, 1 Sm 3.18
Sm 0.5000 0.8826 0.1174  4 Y 3.01-3.25, 1 Sm 3.18
Sm 0.5321 0.5321 0.8169  7 Sm 3.52-3.89, 3 Y 3.68-3.76
Sm 0.5321 0.8169 0.5321  7 Sm 3.52-3.89, 3 Y 3.68-3.76
Sm 0.8169 0.5321 0.5321  7 Sm 3.52-3.89, 3 Y 3.68-3.76
Sm 0.8826 0.1174 0.5000  4 Y 3.01-3.25, 1 Sm 3.18
Sm 0.8826 0.5000 0.1174  4 Y 3.01-3.25, 1 Sm 3.18
Y 0.2020 0.2020 0.7451  4 Sm 3.01-3.25
Y 0.2020 0.7451 0.2020  4 Sm 3.01-3.25
Y 0.2549 0.7980 0.7980  4 Sm 3.01-3.25
Y 0.7451 0.2020 0.2020  4 Sm 3.01-3.25
Y 0.7980 0.2549 0.7980  4 Sm 3.01-3.25
Y 0.7980 0.7980 0.2549  4 Sm 3.01-3.25


Density functional theory data (PBE-GGA) for RbCuSe after structural relaxation.

## Properties
For the total energy, the calculation gives -9.31 eV per cell. The formation energy from raw total energies comes out at -254 meV per atom. The density of states at the Fermi level comes out at 0.854 states/eV per cell. The theoretical density comes out at 4.67 g/cm3. Its size of the total moment is 0.00 μB per formula unit.

a b c (Å): 6.4938 6.4938 6.4938
angles (deg): 146.96 146.96 47.42
Last column: nearest neighbours and their distance in Å.
Element x y z (fractional)
Rb 0.0000 0.0000 0.0000  1 Cu 3.03, 1 Se 3.25
Cu 0.2550 0.2550 0.0000  4 Se 2.63
Se 0.7266 0.7266 0.0000  4 Cu 2.63


Copy entry 3 word for word.
Density functional theory data (PBE-GGA) for RbCuSe after structural relaxation.

## Properties
For the total energy, the calculation gives -9.31 eV per cell. The formation energy from raw total energies comes out at -254 meV per atom. The density of states at the Fermi level comes out at 0.854 states/eV per cell. The theoretical density comes out at 4.67 g/cm3. Its size of the total moment is 0.00 μB per formula unit.

a b c (Å): 6.4938 6.4938 6.4938
angles (deg): 146.96 146.96 47.42
Last column: nearest neighbours and their distance in Å.
Element x y z (fractional)
Rb 0.0000 0.0000 0.0000  1 Cu 3.03, 1 Se 3.25
Cu 0.2550 0.2550 0.0000  4 Se 2.63
Se 0.7266 0.7266 0.0000  4 Cu 2.63


What did the third record say?
Density functional theory data (PBE-GGA) for RbCuSe after structural relaxation.

## Properties
For the total energy, the calculation gives -9.31 eV per cell. The formation energy from raw total energies comes out at -254 meV per atom. The density of states at the Fermi level comes out at 0.854 states/eV per cell. The theoretical density comes out at 4.67 g/cm3. Its size of the total moment is 0.00 μB per formula unit.

a b c (Å): 6.4938 6.4938 6.4938
angles (deg): 146.96 146.96 47.42
Last column: nearest neighbours and their distance in Å.
Element x y z (fractional)
Rb 0.0000 0.0000 0.0000  1 Cu 3.03, 1 Se 3.25
Cu 0.2550 0.2550 0.0000  4 Se 2.63
Se 0.7266 0.7266 0.0000  4 Cu 2.63


What did the second record say?
Density functional theory data (PBE-GGA) for PmSm12Y6 after structural relaxation.

## Properties
For the total energy, the calculation gives -92.22 eV per cell. The density of states at the Fermi level comes out at 23.759 states/eV per cell. The theoretical density comes out at 5.99 g/cm3. Its size of the total moment is 0.00 μB per formula unit.

a b c (Å): 8.9368 8.9368 8.9368
angles (deg): 98.41 98.41 98.41
Last column: nearest neighbours and their distance in Å.
Element x y z (fractional)
Pm 0.0000 0.0000 0.0000  6 Y 3.63
Sm 0.1174 0.5000 0.8826  4 Y 3.01-3.25, 1 Sm 3.18
Sm 0.1174 0.8826 0.5000  4 Y 3.01-3.25, 1 Sm 3.18
Sm 0.1831 0.4679 0.4679  7 Sm 3.52-3.89, 3 Y 3.68-3.76
Sm 0.4679 0.1831 0.4679  7 Sm 3.52-3.89, 3 Y 3.68-3.76
Sm 0.4679 0.4679 0.1831  7 Sm 3.52-3.89, 3 Y 3.68-3.76
Sm 0.5000 0.1174 0.8826  4 Y 3.01-3.25, 1 Sm 3.18
Sm 0.5000 0.8826 0.1174  4 Y 3.01-3.25, 1 Sm 3.18
Sm 0.5321 0.5321 0.8169  7 Sm 3.52-3.89, 3 Y 3.68-3.76
Sm 0.5321 0.8169 0.5321  7 Sm 3.52-3.89, 3 Y 3.68-3.76
Sm 0.8169 0.5321 0.5321  7 Sm 3.52-3.89, 3 Y 3.68-3.76
Sm 0.8826 0.1174 0.5000  4 Y 3.01-3.25, 1 Sm 3.18
Sm 0.8826 0.5000 0.1174  4 Y 3.01-3.25, 1 Sm 3.18
Y 0.2020 0.2020 0.7451  4 Sm 3.01-3.25
Y 0.2020 0.7451 0.2020  4 Sm 3.01-3.25
Y 0.2549 0.7980 0.7980  4 Sm 3.01-3.25
Y 0.7451 0.2020 0.2020  4 Sm 3.01-3.25
Y 0.7980 0.2549 0.7980  4 Sm 3.01-3.25
Y 0.7980 0.7980 0.2549  4 Sm 3.01-3.25